Entry 1:
SiPWS2 | PBE-GGA | relaxed

a = 4.584 Å, b = 4.584 Å, c = 4.964 Å
α = 90.00°, β = 90.00°, γ = 90.00°
Element x y z (fractional)
Si1 0.000 0.000 0.000
P1 0.500 0.500 0.000
W1 0.500 0.500 0.500
S1 0.000 0.500 0.500
S2 0.500 0.000 0.500

- energy relative to the elements, uncorrected (kJ/mol of atoms) = 55.7

Entry 2:
Sc2VIr2 | PBE-GGA | relaxed

a = 6.441 Å, b = 6.441 Å, c = 4.320 Å
α = 90.00°, β = 90.00°, γ = 90.00°
Element x y z (fractional)
Sc1 0.175 0.325 0.000
Sc2 0.325 0.825 0.000
Sc3 0.675 0.175 0.000
Sc4 0.825 0.675 0.000
V1 0.000 0.000 0.500
V2 0.500 0.500 0.500
Ir1 0.143 0.643 0.500
Ir2 0.357 0.143 0.500
Ir3 0.643 0.857 0.500
Ir4 0.857 0.357 0.500

- DFT formation energy (eV/atom) = -0.614

Entry 3:
AcTb2Hg | PBE-GGA | relaxed

a = 5.667 Å, b = 5.667 Å, c = 3.819 Å
α = 90.00°, β = 90.00°, γ = 90.00°
Element x y z (fractional)
Ac1 0.000 0.000 0.000
Tb1 0.000 0.500 0.500
Tb2 0.500 0.000 0.500
Hg1 0.500 0.500 0.000

- DFT formation energy (eV/atom) = -0.036